AcPrZr: optimized geometry, PBE.

POSCAR file:
```
AcPrZr
1.0
-1.9251 3.0206 -0.0024
-3.0012 -1.9125 0.4065
3.2077 -0.0734 7.5560
Pr Ac Zr
1 1 1
Cartesian
0.4728 0.3052 4.9263
0.0173 0.0111 0.1799
-2.2087 0.7184 2.8539
```

## Properties
For the density, the calculation gives 7.61 Mg/m³. The value obtained for the density of states at the Fermi level is 4.0 states/eV/cell. As for the total energy: -5.612 eV/atom. The calculation puts the formation energy at 0.20 eV per atom. As for the total magnetization: 0.0 μB/cell. As for the symmetry: I4mm (107). The value obtained for the energy relative to the lowest polymorph listed for this composition is 108 meV per atom.